Record 1
Compound: YSeO3F
Source: the Alexandria database
Functional: PBEsol
Structure: relaxed

Cell: 4.3653 6.5151 6.9926 Å, 90.00 90.00 98.05°
Element x y z (fractional)
1 O 0.5608 0.6810 0.5727
2 F 0.9548 0.3527 0.7500
3 O 0.5608 0.6810 0.9273
4 Y 0.5436 0.6319 0.2500
5 O 0.3996 0.0166 0.7500
6 O 0.4392 0.3190 0.4273
7 Se 0.3209 0.1379 0.2500
8 Se 0.6791 0.8621 0.7500
9 O 0.6004 0.9834 0.2500
10 F 0.0452 0.6473 0.2500
11 Y 0.4564 0.3681 0.7500
12 O 0.4392 0.3190 0.0727

Calculated values
Total magnetic moment ... 0.000 μB per atom
Space-group type ... P2_1/m, No. 11
Calculated total energy ... -7.15 eV per atom
Uncorrected formation energy ... -2421 meV/atom
DOS at the Fermi energy ... 0.0 states/eV/f.u.

=====

Record 2
Compound: BaNi3Bi
Source: the Alexandria database
Functional: PBEsol
Structure: relaxed

Cell: 4.8451 4.8451 4.8451 Å, 90.00 90.00 90.00°
Element x y z (fractional)
1 Ba 0.0000 0.0000 0.0000
2 Ni 0.0000 0.5000 0.0000
3 Bi 0.5000 0.5000 0.5000
4 Ni 0.0000 0.0000 0.5000
5 Ni 0.5000 0.0000 0.0000

Calculated values
Total magnetic moment ... 0.000 μB per atom
Space-group type ... Pm-3m, No. 221
ΔE_f ... 1.550 eV per atom
Calculated total energy ... -3.43 eV per atom
DOS at the Fermi energy ... 4.2 states/eV/f.u.

=====

Record 3
Compound: AlFe4W
Source: the Alexandria database
Functional: PBEsol
Structure: relaxed

Cell: 4.6467 4.6467 4.6467 Å, 60.00 60.00 60.00°
Site moments in Bohr magnetons follow the coordinates.
Element x y z (fractional)
1 Fe 0.3750 0.3750 0.3750  1.54
2 W 0.7500 0.7500 0.7500  1.54
3 Al 0.0000 0.0000 0.0000  -0.01
4 Fe 0.3750 0.3750 0.8751  1.54
5 Fe 0.3750 0.8751 0.3750  -0.35
6 Fe 0.8751 0.3750 0.3750  1.54

Calculated values
Total magnetic moment ... 0.956 μB per atom
Space-group type ... F-43m, No. 216
ΔE_f ... -0.098 eV per atom
Calculated total energy ... -9.06 eV per atom
DOS at the Fermi energy ... 7.0 states/eV/f.u.

=====

Record 4
Compound: Tl4Hg3
Source: the Alexandria database
Functional: PBEsol
Structure: relaxed

Cell: 5.8637 5.8637 6.2639 Å, 90.00 90.00 120.00°
Element x y z (fractional)
1 Hg 0.5000 0.5000 0.0000
2 Hg 0.5000 0.0000 0.0000
3 Hg 0.0000 0.5000 0.0000
4 Tl 0.6667 0.3333 0.5000
5 Tl 0.0000 0.0000 0.7418
6 Tl 0.0000 0.0000 0.2582
7 Tl 0.3333 0.6667 0.5000

Calculated values
Total magnetic moment ... 0.000 μB per atom
Space-group type ... P6/mmm, No. 191
ΔE_f ... 0.003 eV per atom
Calculated total energy ... -1.74 eV per atom
DOS at the Fermi energy ... 2.5 states/eV/f.u.

=====

Record 5
Compound: Sc2Nb3Si3
Source: the Alexandria database
Functional: PBEsol
Structure: relaxed

Cell: 5.3103 7.6496 7.7035 Å, 119.77 90.00 90.00°
Element x y z (fractional)
1 Sc 0.5000 0.0001 0.7500
2 Si 0.5000 0.6053 0.6054
3 Si 0.0000 0.6113 0.0000
4 Nb 0.0000 0.7375 0.7375
5 Sc 0.5000 0.2500 0.2500
6 Sc 0.0000 0.2491 0.0000
7 Si 0.0000 0.3915 0.3924
8 Nb 0.7494 0.6671 0.3333
9 Si 0.0000 0.9991 0.6076
10 Sc 0.5000 0.7568 0.0000
11 Si 0.5000 0.9998 0.3946
12 Nb 0.7494 0.3339 0.6667
13 Nb 0.2506 0.6671 0.3333
14 Nb 0.0000 0.0000 0.2625
15 Nb 0.2506 0.3339 0.6667
16 Si 0.5000 0.3975 0.0000

Calculated values
Total magnetic moment ... 0.000 μB per atom
Space-group type ... Amm2, No. 38
Calculated total energy ... -8.62 eV per atom
Uncorrected formation energy ... -755 meV/atom
DOS at the Fermi energy ... 3.5 states/eV/f.u.

=====

Record 6
Compound: Li2ScSb
Source: the Alexandria database
Functional: PBEsol
Structure: relaxed

Cell: 4.1310 4.1310 4.5711 Å, 90.00 90.00 90.00°
Element x y z (fractional)
1 Li 0.5000 0.0000 0.0000
2 Sb 0.5000 0.5000 0.5000
3 Sc 0.0000 0.0000 0.5000
4 Li 0.0000 0.5000 0.0000

Calculated values
Total magnetic moment ... 0.000 μB per atom
Space-group type ... P4/mmm, No. 123
Calculated total energy ... -4.33 eV per atom
Uncorrected formation energy ... -555 meV/atom
DOS at the Fermi energy ... 1.3 states/eV/f.u.